Here is crystalline CdInBr4 at its relaxed geometry from Alexandria via LeMat-Bulk. Energies are from PBE-GGA.

Summary:
Formation energy (no corrections) in eV per atom: 0.195

Unit cell a=6.5196 b=6.5196 c=6.5196 alpha=60.00 beta=60.00 gamma=60.00
Last column: nearest neighbours and their distance in Å.
Element x y z (fractional)
Cd: 0.0000 0.0000 0.0000  12 Br 3.82, 4 In 3.99
In: 0.7500 0.7500 0.7500  12 Br 3.82, 4 Cd 3.99
Br: 0.3744 0.3744 0.3744  6 Br 3.24-3.27
Br: 0.3744 0.3744 0.8767  6 Br 3.24-3.27
Br: 0.3744 0.8767 0.3744  6 Br 3.24-3.27
Br: 0.8767 0.3744 0.3744  6 Br 3.24-3.27

=====

Here is crystalline CdInBr2 at its relaxed geometry from Alexandria via LeMat-Bulk. Energies are from PBE-GGA.

Summary:
Formation energy (no corrections) in eV per atom: -0.389

Unit cell a=4.0022 b=4.9163 c=6.2370 alpha=90.00 beta=90.00 gamma=90.00
Last column: nearest neighbours and their distance in Å.
Element x y z (fractional)
Cd: 0.0000 0.0000 0.0000  4 Br 3.17
In: 0.0000 0.5000 0.5000  4 Br 3.17
Br: 0.5000 0.0000 0.5000  4 In 3.17
Br: 0.5000 0.5000 0.0000  4 Cd 3.17

=====

Here is crystalline CdInBr2 at its relaxed geometry from Alexandria via LeMat-Bulk. Energies are from PBE-GGA.

Summary:
Formation energy (no corrections) in eV per atom: -0.392

Unit cell a=5.6424 b=5.6424 c=3.9541 alpha=99.40 beta=99.40 gamma=90.14
Last column: nearest neighbours and their distance in Å.
Element x y z (fractional)
Cd: 0.0000 0.0000 0.0000  4 Br 3.17
In: 0.5000 0.5000 0.0000  4 Br 3.17
Br: 0.0000 0.5000 0.5000  2 In 3.17, 2 Cd 3.17
Br: 0.5000 0.0000 0.5000  2 In 3.17, 2 Cd 3.17

=====

Here is crystalline CdInBr2 at its relaxed geometry from Alexandria via LeMat-Bulk. Energies are from PBE-GGA.

Summary:
Formation energy (no corrections) in eV per atom: -0.376

Unit cell a=5.4877 b=5.4877 c=5.4877 alpha=60.00 beta=60.00 gamma=60.00
Last column: nearest neighbours and their distance in Å.
Element x y z (fractional)
Cd: 0.0000 0.0000 0.0000  8 Br 3.36
In: 0.5000 0.5000 0.5000  8 Br 3.36
Br: 0.2500 0.2500 0.2500  4 In 3.36, 4 Cd 3.36
Br: 0.7500 0.7500 0.7500  4 In 3.36, 4 Cd 3.36

=====

Here is crystalline CdInBr2 at its relaxed geometry from Alexandria via LeMat-Bulk. Energies are from PBE-GGA.

Summary:
Formation energy (no corrections) in eV per atom: -0.432

Unit cell a=6.1770 b=6.1770 c=6.1770 alpha=143.66 beta=117.21 gamma=74.76
Last column: nearest neighbours and their distance in Å.
Element x y z (fractional)
Cd: 0.0000 0.0000 0.0000  2 Br 2.83, 2 In 3.01
In: 0.2352 0.7352 0.5000  2 Br 2.94, 2 Cd 3.01
Br: 0.4620 0.4620 0.0000  2 In 2.94
Br: 0.7889 0.2889 0.5000  2 Cd 2.83

=====

Here is crystalline CdInBr2 at its relaxed geometry from Alexandria via LeMat-Bulk. Energies are from PBE-GGA.

Summary:
Formation energy (no corrections) in eV per atom: -0.338

Unit cell a=10.0136 b=10.0136 c=10.0136 alpha=24.21 beta=24.21 gamma=24.21
Last column: nearest neighbours and their distance in Å.
Element x y z (fractional)
Cd: 0.0000 0.0000 0.0000  2 Br 2.74
In: 0.5000 0.5000 0.5000  6 Br 3.22
Br: 0.0940 0.0940 0.0940  1 Cd 2.74
Br: 0.9060 0.9060 0.9060  1 Cd 2.74

=====

Here is crystalline Cd2InBr at its relaxed geometry from Alexandria via LeMat-Bulk. Energies are from PBE-GGA.

Summary:
Formation energy (no corrections) in eV per atom: -0.106

Unit cell a=5.8676 b=5.8676 c=5.8676 alpha=130.49 beta=130.49 gamma=72.63
Last column: nearest neighbours and their distance in Å.
Element x y z (fractional)
Cd: 0.0000 0.0000 0.0000  4 Cd 3.41, 4 In 3.41, 4 Br 3.47
Cd: 0.7500 0.2500 0.5000  4 Br 3.41, 4 Cd 3.41, 4 In 3.47
In: 0.2500 0.7500 0.5000  4 Br 3.41, 8 Cd 3.41-3.47
Br: 0.5000 0.5000 0.0000  8 Cd 3.41-3.47, 4 In 3.41

=====

Here is crystalline CdInBr at its relaxed geometry from Alexandria via LeMat-Bulk. Energies are from PBE-GGA.

Summary:
Formation energy (no corrections) in eV per atom: -0.255

Unit cell a=6.5953 b=6.5953 c=6.5953 alpha=146.41 beta=146.41 gamma=48.24
Last column: nearest neighbours and their distance in Å.
Element x y z (fractional)
Cd: 0.0000 0.0000 0.0000  4 Br 3.33, 4 In 3.35
In: 0.3348 0.3348 0.0000  4 Cd 3.35, 4 Br 3.40
Br: 0.6627 0.6627 0.0000  4 Cd 3.33, 4 In 3.40

=====

Here is crystalline Cd2InBr at its relaxed geometry from Alexandria via LeMat-Bulk. Energies are from PBE-GGA.

Summary:
Formation energy (no corrections) in eV per atom: -0.157

Unit cell a=8.7502 b=8.7502 c=8.7502 alpha=25.67 beta=25.67 gamma=25.67
Last column: nearest neighbours and their distance in Å.
Element x y z (fractional)
Cd: 0.0000 0.0000 0.0000  3 Cd 2.96, 3 Br 3.05
Cd: 0.2573 0.2573 0.2573  3 Cd 2.96, 3 In 3.09
In: 0.5068 0.5068 0.5068  3 Cd 3.09, 3 Br 3.24
Br: 0.7478 0.7478 0.7478  3 Cd 3.05, 3 In 3.24

=====

Here is crystalline Cd2In3Br8 at its relaxed geometry from Alexandria via LeMat-Bulk. Energies are from PBE-GGA.

Summary:
Formation energy (no corrections) in eV per atom: -0.699

Unit cell a=8.7326 b=8.7326 c=7.5533 alpha=108.18 beta=108.18 gamma=66.50
Last column: nearest neighbours and their distance in Å.
Element x y z (fractional)
Cd: 0.1794 0.1794 0.1369  4 Br 2.62-2.71
Cd: 0.8206 0.8206 0.8631  4 Br 2.62-2.71
In: 0.2289 0.7711 0.5000  6 Br 3.08-3.19
In: 0.5000 0.5000 0.0000  6 Br 3.31-3.36
In: 0.7711 0.2289 0.5000  6 Br 3.08-3.19
Br: 0.1069 0.6399 0.7466  1 Cd 2.62
Br: 0.1342 0.1342 0.7601  1 Cd 2.67
Br: 0.3601 0.8931 0.2534  1 Cd 2.62
Br: 0.3791 0.3791 0.3004  1 Cd 2.71
Br: 0.6209 0.6209 0.6996  1 Cd 2.71
Br: 0.6399 0.1069 0.7466  1 Cd 2.62
Br: 0.8658 0.8658 0.2399  1 Cd 2.67
Br: 0.8931 0.3601 0.2534  1 Cd 2.62

=====

Here is crystalline Cd2In2Br5 at its relaxed geometry from Alexandria via LeMat-Bulk. Energies are from PBE-GGA.

Summary:
Formation energy (no corrections) in eV per atom: -0.620

Unit cell a=8.1366 b=8.1366 c=8.1456 alpha=114.23 beta=114.23 gamma=41.46
Last column: nearest neighbours and their distance in Å.
Element x y z (fractional)
Cd: 0.1416 0.1416 0.3652  5 Br 2.76-2.94
Cd: 0.8584 0.8584 0.6348  5 Br 2.76-2.94
In: 0.3864 0.3864 0.2029  5 Br 3.18-3.56
In: 0.6136 0.6136 0.7971  5 Br 3.18-3.56
Br: 0.0000 0.0000 0.5000  2 Cd 2.82
Br: 0.1541 0.1541 0.0377  1 Cd 2.76
Br: 0.3536 0.3536 0.6019  3 Cd 2.89-2.94
Br: 0.6464 0.6464 0.3981  3 Cd 2.89-2.94
Br: 0.8459 0.8459 0.9623  1 Cd 2.76

=====

Here is crystalline KCdIn2Br5 at its relaxed geometry from Alexandria via LeMat-Bulk. Energies are from PBE-GGA.

Summary:
Formation energy (no corrections) in eV per atom: -0.929

Unit cell a=9.5561 b=9.5561 c=17.0589 alpha=90.00 beta=90.00 gamma=153.80
Last column: nearest neighbours and their distance in Å.
Element x y z (fractional)
K: 0.0490 0.9510 0.5000  5 Br 3.19-3.30
K: 0.9510 0.0490 0.0000  5 Br 3.19-3.30
Cd: 0.2591 0.7409 0.0927  6 Br 2.77-2.96
Cd: 0.7409 0.2591 0.5927  6 Br 2.77-2.96
In: 0.3549 0.6451 0.3147  5 Br 3.15-3.47
In: 0.4275 0.5725 0.7130  6 Br 3.20-3.44
In: 0.5725 0.4275 0.2130  6 Br 3.20-3.44
In: 0.6451 0.3549 0.8147  5 Br 3.15-3.47
Br: 0.0232 0.9768 0.8303  4 In 3.15-3.44, 1 K 3.19
Br: 0.1106 0.8894 0.0816  1 Cd 2.77
Br: 0.2258 0.7742 0.4861  2 Cd 2.84
Br: 0.2541 0.7459 0.7098  2 Cd 2.96, 1 In 3.23
Br: 0.4055 0.5945 0.1301  1 Cd 2.80
Br: 0.5945 0.4055 0.6301  1 Cd 2.80
Br: 0.7459 0.2541 0.2098  2 Cd 2.96, 1 In 3.23
Br: 0.7742 0.2258 0.9861  2 Cd 2.84
Br: 0.8894 0.1106 0.5816  1 Cd 2.77
Br: 0.9768 0.0232 0.3303  4 In 3.15-3.44, 1 K 3.19